Record 1
Computed, not measured: a relaxed CsLiTeI2 crystal at the GGA-PBE level of DFT.

energy relative to the lowest polymorph listed for this composition	0	meV per atom
formation energy from raw total energies	-716	meV/atom
VASP energy	-2.518	eV/atom

```
5
Lattice="6.022 0.000 0.000 0.000 6.022 0.000 0.000 0.000 5.436" Properties=species:S:1:pos:R:3 pbc="T T T"
Te 0.000 0.000 2.718
Cs 3.011 3.011 2.718
Li 0.000 0.000 0.000
I 3.011 0.000 0.000
I 0.000 3.011 0.000
```



Record 2
Computed, not measured: a relaxed Y2AsIr crystal at the GGA-PBE level of DFT.

VASP energy	-7.157	eV/atom
energy relative to the elements	-52.8	kJ/mol of atoms

```
8
Lattice="7.481 0.000 0.000 0.000 7.481 0.000 3.740 3.740 3.492" Properties=species:S:1:pos:R:3 pbc="T T T"
Y 5.709 1.870 0.873
Y 9.351 9.450 2.619
Y 5.611 5.512 2.619
Y 1.772 5.611 0.873
Ir 7.481 3.740 1.746
Ir 0.000 0.000 0.000
As 3.740 3.740 0.000
As 3.740 7.481 1.746
```